1.
Entry from the Alexandria database: crystalline CsSi2Ir at its relaxed geometry (GGA-PBEsol).

Geometry as CIF:
```
data_CsSi2Ir
_cell_length_a 6.394
_cell_length_b 7.628
_cell_length_c 6.394
_cell_angle_alpha 114.78
_cell_angle_beta 90.00
_cell_angle_gamma 114.78
_space_group_name_H-M_alt 'P 1'
_space_group_IT_number 1
_space_group_name_Hall 'P 1'
loop_
_atom_site_label
_atom_site_fract_x
_atom_site_fract_y
_atom_site_fract_z
_atom_site_occupancy
Si1 0.125 0.750 0.875 1
Si2 0.625 0.750 0.875 1
Si3 0.125 0.250 0.875 1
Si4 0.125 0.250 0.375 1
Ir1 0.250 0.500 0.750 1
Ir2 0.000 0.000 0.000 1
Cs1 0.500 0.000 0.500 1
Cs2 0.750 0.500 0.250 1
```

Properties
SG	I4_1/amd
DFT total energy	-0.426	Ry per atom
raw formation energy	-0.224	eV/atom

2.
Entry from the Alexandria database: crystalline Ca2Be at its relaxed geometry (GGA-PBEsol).

Geometry as CIF:
```
data_Ca2Be
_cell_length_a 3.547
_cell_length_b 5.064
_cell_length_c 9.367
_cell_angle_alpha 90.00
_cell_angle_beta 100.91
_cell_angle_gamma 90.00
_space_group_name_H-M_alt 'P 1'
_space_group_IT_number 1
_space_group_name_Hall 'P 1'
loop_
_atom_site_label
_atom_site_fract_x
_atom_site_fract_y
_atom_site_fract_z
_atom_site_occupancy
Be1 0.442 0.750 0.884 1
Be2 0.558 0.250 0.116 1
Ca1 0.932 0.250 0.865 1
Ca2 0.068 0.750 0.135 1
Ca3 0.193 0.250 0.387 1
Ca4 0.807 0.750 0.613 1
```

Properties
SG	Cmcm
DFT total energy	-0.178	Ry per atom
energy above the lowest structure with this stoichiometry	6.54	kJ/mol of atoms
formation enthalpy at 0 K	0.328	eV/atom

3.
Entry from the Alexandria database: crystalline TlCo2Ni at its relaxed geometry (GGA-PBEsol).

Geometry as CIF:
```
data_TlCo2Ni
_cell_length_a 2.976
_cell_length_b 2.976
_cell_length_c 5.937
_cell_angle_alpha 90.00
_cell_angle_beta 90.00
_cell_angle_gamma 90.00
_space_group_name_H-M_alt 'P 1'
_space_group_IT_number 1
_space_group_name_Hall 'P 1'
loop_
_atom_site_label
_atom_site_fract_x
_atom_site_fract_y
_atom_site_fract_z
_atom_site_occupancy
Co1 0.000 0.000 0.796 1
Co2 0.000 0.000 0.204 1
Ni1 0.500 0.500 0.000 1
Tl1 0.500 0.500 0.500 1
```

Properties
SG	P4/mmm
DFT total energy	-0.415	Ry per atom
energy above the lowest structure with this stoichiometry	0.98	kJ/mol of atoms
formation enthalpy at 0 K	0.421	eV/atom

4.
Entry from the Alexandria database: crystalline YAs2SeS at its relaxed geometry (GGA-PBEsol).

Geometry as CIF:
```
data_YAs2SeS
_cell_length_a 4.881
_cell_length_b 4.707
_cell_length_c 4.707
_cell_angle_alpha 90.00
_cell_angle_beta 90.00
_cell_angle_gamma 90.00
_space_group_name_H-M_alt 'P 1'
_space_group_IT_number 1
_space_group_name_Hall 'P 1'
loop_
_atom_site_label
_atom_site_fract_x
_atom_site_fract_y
_atom_site_fract_z
_atom_site_occupancy
As1 0.000 0.500 0.000 1
As2 0.000 0.000 0.500 1
S1 0.000 0.000 0.000 1
Se1 0.500 0.000 0.000 1
Y1 0.500 0.500 0.500 1
```

Properties
SG	P4/mmm
DFT total energy	-0.385	Ry per atom
raw formation energy	-0.179	eV/atom